# GGA-PBE La2Sm4In, relaxed
# total moment: 0.00 μB/f.u.
# energy relative to the elements: -0.07 eV per atom
# density of states at the Fermi level: 1.400 states/eV per atom
data_La2Sm4In
_symmetry_space_group_name_H-M 'P 1 21/c 1'
_symmetry_Int_Tables_number 14
_cell_length_a 6.389
_cell_length_b 11.024
_cell_length_c 6.605
_cell_angle_alpha 90.00
_cell_angle_beta 90.05
_cell_angle_gamma 90.00
loop_
_symmetry_equiv_pos_as_xyz
'x,y,z'
'-x,-y,-z'
'-x,y+1/2,-z+1/2'
'x,-y+1/2,z+1/2'
loop_
_atom_site_label
_atom_site_fract_x
_atom_site_fract_y
_atom_site_fract_z
_atom_site_occupancy
La1 0.244 0.046 0.001 1
Sm1 0.070 0.153 0.501 1
Sm2 0.390 0.750 0.251 1
In1 0.500 0.000 0.500 1

# GGA-PBE La2SmIn, relaxed
# total moment: 0.00 μB/f.u.
# energy relative to the elements: -0.21 eV per atom
# density of states at the Fermi level: 1.153 states/eV per atom
data_La2SmIn
_symmetry_space_group_name_H-M 'P 4/m m m'
_symmetry_Int_Tables_number 123
_symmetry_space_group_name_Hall '-P 4 2'
_cell_length_a 3.718
_cell_length_b 3.718
_cell_length_c 9.641
_cell_angle_alpha 90.00
_cell_angle_beta 90.00
_cell_angle_gamma 90.00
loop_
_atom_site_label
_atom_site_fract_x
_atom_site_fract_y
_atom_site_fract_z
_atom_site_occupancy
La1 0.000 0.000 0.227 1
Sm1 0.500 0.500 0.500 1
In1 0.500 0.500 0.000 1

# GGA-PBE La3SmIn2, relaxed
# total moment: 0.00 μB/f.u.
# energy relative to the elements: -0.26 eV per atom
# density of states at the Fermi level: 0.892 states/eV per atom
data_La3SmIn2
_symmetry_space_group_name_H-M 'C 1 2/m 1'
_symmetry_Int_Tables_number 12
_cell_length_a 19.092
_cell_length_b 4.995
_cell_length_c 8.856
_cell_angle_alpha 90.00
_cell_angle_beta 116.39
_cell_angle_gamma 90.00
loop_
_symmetry_equiv_pos_as_xyz
'x,y,z'
'-x,-y,-z'
'-x,y,-z'
'x,-y,z'
'x+1/2,y+1/2,z'
'-x+1/2,-y+1/2,-z'
'-x+1/2,y+1/2,-z'
'x+1/2,-y+1/2,z'
loop_
_atom_site_label
_atom_site_fract_x
_atom_site_fract_y
_atom_site_fract_z
_atom_site_occupancy
La1 0.065 0.000 0.192 1
La2 0.121 0.500 0.035 1
La3 0.201 0.500 0.487 1
Sm1 0.114 0.000 0.679 1
In1 0.012 0.500 0.352 1
In2 0.244 0.000 0.110 1

# GGA-PBE La2SmIn, relaxed
# total moment: 0.00 μB/f.u.
# energy relative to the elements: -0.12 eV per atom
# density of states at the Fermi level: 1.592 states/eV per atom
data_La2SmIn
_symmetry_space_group_name_H-M 'R 3 m'
_symmetry_Int_Tables_number 160
_symmetry_space_group_name_Hall 'R 3 -2"'
_cell_length_a 3.7401
_cell_length_b 3.7401
_cell_length_c 33.8062
_cell_angle_alpha 90.00
_cell_angle_beta 90.00
_cell_angle_gamma 120.00
loop_
_atom_site_label
_atom_site_fract_x
_atom_site_fract_y
_atom_site_fract_z
_atom_site_occupancy
La1 0.0000 0.0000 0.0000 1
La2 0.0000 0.0000 0.1771 1
Sm1 0.0000 0.0000 0.7551 1
In1 0.0000 0.0000 0.5886 1

# GGA-PBE LaSm2In, relaxed
# total moment: 0.00 μB/f.u.
# energy relative to the elements: -0.27 eV per atom
# density of states at the Fermi level: 1.651 states/eV per atom
data_LaSm2In
_symmetry_space_group_name_H-M 'P 4/m m m'
_symmetry_Int_Tables_number 123
_symmetry_space_group_name_Hall '-P 4 2'
_cell_length_a 5.007
_cell_length_b 5.007
_cell_length_c 4.914
_cell_angle_alpha 90.00
_cell_angle_beta 90.00
_cell_angle_gamma 90.00
loop_
_atom_site_label
_atom_site_fract_x
_atom_site_fract_y
_atom_site_fract_z
_atom_site_occupancy
La1 0.000 0.000 0.000 1
Sm1 0.000 0.500 0.500 1
In1 0.500 0.500 0.000 1

# GGA-PBE La6Sm12In, relaxed
# total moment: 0.00 μB/f.u.
# energy relative to the elements: 0.05 eV per atom
# density of states at the Fermi level: 1.448 states/eV per atom
data_La6Sm12In
_symmetry_space_group_name_H-M 'R -3'
_symmetry_Int_Tables_number 148
_symmetry_space_group_name_Hall '-R 3'
_cell_length_a 12.2043
_cell_length_b 12.2043
_cell_length_c 15.2114
_cell_angle_alpha 90.00
_cell_angle_beta 90.00
_cell_angle_gamma 120.00
loop_
_atom_site_label
_atom_site_fract_x
_atom_site_fract_y
_atom_site_fract_z
_atom_site_occupancy
La1 0.0151 0.4216 0.1858 1
Sm1 0.0092 0.1756 0.3150 1
Sm2 0.0494 0.8521 0.9165 1
In1 0.0000 0.0000 0.5000 1

# GGA-PBE La6Sm2In, relaxed
# total moment: 0.00 μB/f.u.
# energy relative to the elements: -0.07 eV per atom
# density of states at the Fermi level: 1.313 states/eV per atom
data_La6Sm2In
_symmetry_space_group_name_H-M 'C 1 2/c 1'
_symmetry_Int_Tables_number 15
_cell_length_a 21.274
_cell_length_b 9.408
_cell_length_c 6.478
_cell_angle_alpha 90.00
_cell_angle_beta 107.70
_cell_angle_gamma 90.00
loop_
_symmetry_equiv_pos_as_xyz
'x,y,z'
'-x,-y,-z'
'-x,y,-z+1/2'
'x,-y,z+1/2'
'x+1/2,y+1/2,z'
'-x+1/2,-y+1/2,-z'
'-x+1/2,y+1/2,-z+1/2'
'x+1/2,-y+1/2,z+1/2'
loop_
_atom_site_label
_atom_site_fract_x
_atom_site_fract_y
_atom_site_fract_z
_atom_site_occupancy
La1 0.077 0.072 0.219 1
La2 0.078 0.427 0.434 1
La3 0.168 0.250 0.918 1
Sm1 0.250 0.076 0.588 1
In1 0.000 0.250 0.750 1

# GGA-PBE La2SmIn2, relaxed
# total moment: 0.00 μB/f.u.
# energy relative to the elements: -0.39 eV per atom
# density of states at the Fermi level: 0.858 states/eV per atom
data_La2SmIn2
_symmetry_space_group_name_H-M 'P 1 21/m 1'
_symmetry_Int_Tables_number 11
_cell_length_a 3.884
_cell_length_b 5.517
_cell_length_c 14.714
_cell_angle_alpha 90.00
_cell_angle_beta 97.61
_cell_angle_gamma 90.00
loop_
_symmetry_equiv_pos_as_xyz
'x,y,z'
'-x,-y,-z'
'-x,y+1/2,-z'
'x,-y+1/2,z'
loop_
_atom_site_label
_atom_site_fract_x
_atom_site_fract_y
_atom_site_fract_z
_atom_site_occupancy
La1 0.046 0.250 0.091 1
La2 0.236 0.250 0.472 1
Sm1 0.147 0.750 0.294 1
In1 0.358 0.750 0.716 1
In2 0.446 0.250 0.892 1

# GGA-PBE La8Sm5In, relaxed
# total moment: 0.00 μB/f.u.
# energy relative to the elements: 0.07 eV per atom
# density of states at the Fermi level: 1.703 states/eV per atom
data_La8Sm5In
_symmetry_space_group_name_H-M 'C 1 2 1'
_symmetry_Int_Tables_number 5
_cell_length_a 15.966
_cell_length_b 8.451
_cell_length_c 8.742
_cell_angle_alpha 90.00
_cell_angle_beta 122.83
_cell_angle_gamma 90.00
loop_
_symmetry_equiv_pos_as_xyz
'x,y,z'
'-x,y,-z'
'x+1/2,y+1/2,z'
'-x+1/2,y+1/2,-z'
loop_
_atom_site_label
_atom_site_fract_x
_atom_site_fract_y
_atom_site_fract_z
_atom_site_occupancy
La1 0.116 0.000 0.194 1
La2 0.176 0.759 0.586 1
La3 0.181 0.264 0.921 1
La4 0.189 0.589 0.259 1
Sm1 0.000 0.023 0.500 1
Sm2 0.049 0.679 0.801 1
Sm3 0.096 0.356 0.456 1
In1 0.000 0.351 0.000 1

# GGA-PBE LaSm3In, relaxed
# total moment: 0.00 μB/f.u.
# energy relative to the elements: 0.02 eV per atom
# density of states at the Fermi level: 1.523 states/eV per atom
data_LaSm3In
_symmetry_space_group_name_H-M 'P m m n'
_symmetry_Int_Tables_number 59
_cell_length_a 5.045
_cell_length_b 6.844
_cell_length_c 10.016
_cell_angle_alpha 90.00
_cell_angle_beta 90.00
_cell_angle_gamma 90.00
loop_
_symmetry_equiv_pos_as_xyz
'x,y,z'
'-x,-y,-z'
'-x+1/2,-y+1/2,z'
'x+1/2,y+1/2,-z'
'x+1/2,-y,-z'
'-x+1/2,y,z'
'-x,y+1/2,-z'
'x,-y+1/2,z'
loop_
_atom_site_label
_atom_site_fract_x
_atom_site_fract_y
_atom_site_fract_z
_atom_site_occupancy
La1 0.250 0.250 0.066 1
Sm1 0.250 0.006 0.746 1
Sm2 0.250 0.250 0.434 1
In1 0.250 0.750 0.368 1

# GGA-PBE La5SmIn3, relaxed
# total moment: 0.01 μB/f.u.
# energy relative to the elements: -0.36 eV per atom
# density of states at the Fermi level: 1.314 states/eV per atom
data_La5SmIn3
_symmetry_space_group_name_H-M 'P 63/m c m'
_symmetry_Int_Tables_number 193
_symmetry_space_group_name_Hall '-P 6c 2'
_cell_length_a 9.7284
_cell_length_b 9.7284
_cell_length_c 7.0735
_cell_angle_alpha 90.00
_cell_angle_beta 90.00
_cell_angle_gamma 120.00
loop_
_atom_site_label
_atom_site_fract_x
_atom_site_fract_y
_atom_site_fract_z
_atom_site_occupancy
La1 0.0000 0.3384 0.2500 1
La2 0.3333 0.6667 0.0000 1
Sm1 0.0000 0.0000 0.0000 1
In1 0.0000 0.3253 0.7500 1

# GGA-PBE LaSm7In2, relaxed
# total moment: 0.45 μB/f.u.
# energy relative to the elements: 0.32 eV per atom
# density of states at the Fermi level: 2.143 states/eV per atom
data_LaSm7In2
_symmetry_space_group_name_H-M 'C m m m'
_symmetry_Int_Tables_number 65
_symmetry_space_group_name_Hall '-C 2 2'
_cell_length_a 9.256
_cell_length_b 15.583
_cell_length_c 5.614
_cell_angle_alpha 90.00
_cell_angle_beta 90.00
_cell_angle_gamma 90.00
loop_
_atom_site_label
_atom_site_fract_x
_atom_site_fract_y
_atom_site_fract_z
_atom_site_occupancy
La1 0.000 0.000 0.000 1
Sm1 0.000 0.233 0.000 1
Sm2 0.000 0.500 0.500 1
Sm3 0.180 0.123 0.500 1
In1 0.000 0.304 0.500 1